1.
# KBe2GaFe, PBEsol geometry, DFT meta-GGA SCAN
data_KBe2GaFe
_chemical_formula_sum 'K1 Be2 Ga1 Fe1'
_symmetry_space_group_name_H-M 'P 4/m m m'
_symmetry_Int_Tables_number 123
_symmetry_space_group_name_Hall '-P 4 2'
_cell_length_a 4.310
_cell_length_b 4.310
_cell_length_c 5.153
_cell_angle_alpha 90.00
_cell_angle_beta 90.00
_cell_angle_gamma 90.00
loop_
_atom_site_label
_atom_site_type_symbol
_atom_site_fract_x
_atom_site_fract_y
_atom_site_fract_z
K1 K 0.000 0.000 0.000
Be1 Be 0.000 0.500 0.500
Ga1 Ga 0.500 0.500 0.000
Fe1 Fe 0.000 0.000 0.500
# **Total magnetization**: 1.47 μB per cell
# **Crystal system**: tetragonal
# **DOS(E_F)**: 3.455 states/eV/cell
# **Formation enthalpy at 0 K**: 1.138 eV per atom

2.
# KBeFeH2, PBEsol geometry, DFT meta-GGA SCAN
data_KBeFeH2
_chemical_formula_sum 'K1 Be1 Fe1 H2'
_symmetry_space_group_name_H-M 'P 4/m m m'
_symmetry_Int_Tables_number 123
_symmetry_space_group_name_Hall '-P 4 2'
_cell_length_a 3.800
_cell_length_b 3.800
_cell_length_c 5.458
_cell_angle_alpha 90.00
_cell_angle_beta 90.00
_cell_angle_gamma 90.00
loop_
_atom_site_label
_atom_site_type_symbol
_atom_site_fract_x
_atom_site_fract_y
_atom_site_fract_z
K1 K 0.000 0.000 0.000
Be1 Be 0.500 0.500 0.000
Fe1 Fe 0.000 0.000 0.500
H1 H 0.000 0.500 0.500
# **Total magnetization**: 2.69 μB per cell
# **Crystal system**: tetragonal
# **DOS(E_F)**: 1.169 states/eV/cell
# **Raw total energy**: -6.2539 eV/atom

3.
# MnBeFeH2, PBEsol geometry, DFT meta-GGA SCAN
data_MnBeFeH2
_chemical_formula_sum 'Mn1 Be1 Fe1 H2'
_symmetry_space_group_name_H-M 'P 4/m m m'
_symmetry_Int_Tables_number 123
_symmetry_space_group_name_Hall '-P 4 2'
_cell_length_a 3.126
_cell_length_b 3.126
_cell_length_c 4.757
_cell_angle_alpha 90.00
_cell_angle_beta 90.00
_cell_angle_gamma 90.00
loop_
_atom_site_label
_atom_site_type_symbol
_atom_site_fract_x
_atom_site_fract_y
_atom_site_fract_z
Mn1 Mn 0.000 0.000 0.000
Be1 Be 0.500 0.500 0.500
Fe1 Fe 0.000 0.000 0.500
H1 H 0.000 0.500 0.000
# **Total magnetization**: 5.31 μB per cell
# **Crystal system**: tetragonal
# **DOS(E_F)**: 1.728 states/eV/cell
# **Raw total energy**: -8.9887 eV/atom

4.
# HfBe2Fe, PBEsol geometry, DFT meta-GGA SCAN
data_HfBe2Fe
_chemical_formula_sum 'Hf4 Be8 Fe4'
_symmetry_space_group_name_H-M 'I 41/a m d'
_symmetry_Int_Tables_number 141
_cell_length_a 3.777
_cell_length_b 3.777
_cell_length_c 14.846
_cell_angle_alpha 90.00
_cell_angle_beta 90.00
_cell_angle_gamma 90.00
loop_
_symmetry_equiv_pos_as_xyz
'x,y,z'
'-x,-y,-z'
'-y+1/4,x+3/4,z+1/4'
'y+1/4,-x+3/4,-z+1/4'
'-x+1/2,-y,z+1/2'
'x+1/2,y,-z+1/2'
'y+1/4,-x+1/4,z+3/4'
'-y+1/4,x+1/4,-z+3/4'
'x,-y,-z'
'-x,y,z'
'-y+1/4,-x+1/4,-z+3/4'
'y+1/4,x+1/4,z+3/4'
'-x+1/2,y,-z+1/2'
'x+1/2,-y,z+1/2'
'y+1/4,x+3/4,-z+1/4'
'-y+1/4,-x+3/4,z+1/4'
'x+1/2,y+1/2,z+1/2'
'-x+1/2,-y+1/2,-z+1/2'
'-y+3/4,x+1/4,z+3/4'
'y+3/4,-x+1/4,-z+3/4'
'-x,-y+1/2,z'
'x,y+1/2,-z'
'y+3/4,-x+3/4,z+1/4'
'-y+3/4,x+3/4,-z+1/4'
'x+1/2,-y+1/2,-z+1/2'
'-x+1/2,y+1/2,z+1/2'
'-y+3/4,-x+3/4,-z+1/4'
'y+3/4,x+3/4,z+1/4'
'-x,y+1/2,-z'
'x,-y+1/2,z'
'y+3/4,x+1/4,-z+3/4'
'-y+3/4,-x+1/4,z+3/4'
loop_
_atom_site_label
_atom_site_type_symbol
_atom_site_fract_x
_atom_site_fract_y
_atom_site_fract_z
Hf1 Hf 0.000 0.250 0.375
Be1 Be 0.000 0.000 0.000
Fe1 Fe 0.000 0.250 0.875
# **Total magnetization**: 3.18 μB per cell
# **Crystal system**: tetragonal
# **DOS(E_F)**: 7.709 states/eV/cell
# **Formation enthalpy at 0 K**: 0.367 eV per atom

5.
# HfBe2NbFe, PBEsol geometry, DFT meta-GGA SCAN
data_HfBe2NbFe
_chemical_formula_sum 'Hf1 Be2 Nb1 Fe1'
_symmetry_space_group_name_H-M 'P 4/m m m'
_symmetry_Int_Tables_number 123
_symmetry_space_group_name_Hall '-P 4 2'
_cell_length_a 4.069
_cell_length_b 4.069
_cell_length_c 4.435
_cell_angle_alpha 90.00
_cell_angle_beta 90.00
_cell_angle_gamma 90.00
loop_
_atom_site_label
_atom_site_type_symbol
_atom_site_fract_x
_atom_site_fract_y
_atom_site_fract_z
Hf1 Hf 0.000 0.000 0.000
Be1 Be 0.000 0.500 0.500
Nb1 Nb 0.500 0.500 0.000
Fe1 Fe 0.000 0.000 0.500
# **Total magnetization**: 0.00 μB per cell
# **Crystal system**: tetragonal
# **DOS(E_F)**: 2.751 states/eV/cell
# **Formation enthalpy at 0 K**: 0.562 eV per atom

6.
# BeFe2Hg, PBEsol geometry, DFT meta-GGA SCAN
data_BeFe2Hg
_chemical_formula_sum 'Be2 Fe4 Hg2'
_symmetry_space_group_name_H-M 'C m m m'
_symmetry_Int_Tables_number 65
_symmetry_space_group_name_Hall '-C 2 2'
_cell_length_a 5.021
_cell_length_b 7.722
_cell_length_c 2.674
_cell_angle_alpha 90.00
_cell_angle_beta 90.00
_cell_angle_gamma 90.00
loop_
_atom_site_label
_atom_site_type_symbol
_atom_site_fract_x
_atom_site_fract_y
_atom_site_fract_z
Be1 Be 0.000 0.000 0.000
Fe1 Fe 0.250 0.250 0.500
Hg1 Hg 0.000 0.500 0.000
# **Total magnetization**: 10.43 μB per cell
# **Crystal system**: orthorhombic
# **DOS(E_F)**: 4.285 states/eV/cell
# **Formation enthalpy at 0 K**: 0.294 eV per atom
# **Polymorph energy (0 for the lowest one)**: 102.2 meV per atom